Version P
## RuCF3 (PBE)

Data for an optimized crystal structure of RuCF3.

Geometry as CIF:
```
data_RuCF3
_symmetry_space_group_name_H-M 'P m -3 m'
_symmetry_Int_Tables_number 221
_symmetry_space_group_name_Hall '-P 4 2 3'
_cell_length_a 4.084
_cell_length_b 4.084
_cell_length_c 4.084
_cell_angle_alpha 90.00
_cell_angle_beta 90.00
_cell_angle_gamma 90.00
loop_
_atom_site_label
_atom_site_type_symbol
_atom_site_fract_x
_atom_site_fract_y
_atom_site_fract_z
Ru1 Ru 0.000 0.000 0.000
C1 C 0.500 0.500 0.500
F1 F 0.000 0.000 0.500
```

M_tot, μB/cell: 1.78
V, Å³/cell: 68



Version Q
## RuCF3 (PBE)

Data for an optimized crystal structure of RuCF3.

Geometry as CIF:
```
data_RuCF3
_symmetry_space_group_name_H-M 'P m -3 m'
_symmetry_Int_Tables_number 221
_symmetry_space_group_name_Hall '-P 4 2 3'
_cell_length_a 3.914
_cell_length_b 3.914
_cell_length_c 3.914
_cell_angle_alpha 90.00
_cell_angle_beta 90.00
_cell_angle_gamma 90.00
loop_
_atom_site_label
_atom_site_type_symbol
_atom_site_fract_x
_atom_site_fract_y
_atom_site_fract_z
Ru1 Ru 0.000 0.000 0.000
C1 C 0.500 0.500 0.500
F1 F 0.000 0.500 0.500
```

M_tot, μB/cell: 3.00
V, Å³/cell: 60



Top of the stability list: version P, leading by 94 meV/atom.



Version P
## SbC2F (PBE)

Data for an optimized crystal structure of SbC2F.

Geometry as CIF:
```
data_SbC2F
_symmetry_space_group_name_H-M 'I -4 2 d'
_symmetry_Int_Tables_number 122
_symmetry_space_group_name_Hall 'I -4 2bw'
_cell_length_a 4.717
_cell_length_b 4.717
_cell_length_c 11.115
_cell_angle_alpha 90.00
_cell_angle_beta 90.00
_cell_angle_gamma 90.00
loop_
_atom_site_label
_atom_site_type_symbol
_atom_site_fract_x
_atom_site_fract_y
_atom_site_fract_z
Sb1 Sb 0.000 0.000 0.000
C1 C 0.235 0.250 0.625
F1 F 0.000 0.000 0.500
```

M_tot, μB/cell: 0.00
V, Å³/cell: 247



Version Q
## SbC2F (PBE)

Data for an optimized crystal structure of SbC2F.

Geometry as CIF:
```
data_SbC2F
_symmetry_space_group_name_H-M 'F m -3 m'
_symmetry_Int_Tables_number 225
_symmetry_space_group_name_Hall '-F 4 2 3'
_cell_length_a 5.637
_cell_length_b 5.637
_cell_length_c 5.637
_cell_angle_alpha 90.00
_cell_angle_beta 90.00
_cell_angle_gamma 90.00
loop_
_atom_site_label
_atom_site_type_symbol
_atom_site_fract_x
_atom_site_fract_y
_atom_site_fract_z
Sb1 Sb 0.000 0.000 0.000
C1 C 0.250 0.250 0.250
F1 F 0.000 0.000 0.500
```

M_tot, μB/cell: 0.00
V, Å³/cell: 179



Top of the stability list: version Q, leading by 148 meV/atom.



Version P
## SbCF3 (PBE)

Data for an optimized crystal structure of SbCF3.

Geometry as CIF:
```
data_SbCF3
_symmetry_space_group_name_H-M 'P m -3 m'
_symmetry_Int_Tables_number 221
_symmetry_space_group_name_Hall '-P 4 2 3'
_cell_length_a 4.438
_cell_length_b 4.438
_cell_length_c 4.438
_cell_angle_alpha 90.00
_cell_angle_beta 90.00
_cell_angle_gamma 90.00
loop_
_atom_site_label
_atom_site_type_symbol
_atom_site_fract_x
_atom_site_fract_y
_atom_site_fract_z
Sb1 Sb 0.000 0.000 0.000
C1 C 0.500 0.500 0.500
F1 F 0.000 0.000 0.500
```

M_tot, μB/cell: 2.01
V, Å³/cell: 87



Version Q
## SbCF3 (PBE)

Data for an optimized crystal structure of SbCF3.

Geometry as CIF:
```
data_SbCF3
_symmetry_space_group_name_H-M 'P m -3 m'
_symmetry_Int_Tables_number 221
_symmetry_space_group_name_Hall '-P 4 2 3'
_cell_length_a 4.043
_cell_length_b 4.043
_cell_length_c 4.043
_cell_angle_alpha 90.00
_cell_angle_beta 90.00
_cell_angle_gamma 90.00
loop_
_atom_site_label
_atom_site_type_symbol
_atom_site_fract_x
_atom_site_fract_y
_atom_site_fract_z
Sb1 Sb 0.000 0.000 0.000
C1 C 0.500 0.500 0.500
F1 F 0.000 0.500 0.500
```

M_tot, μB/cell: 0.00
V, Å³/cell: 66



Top of the stability list: version P, leading by 474 meV/atom.



Version P
## SbC3F (PBE)

Data for an optimized crystal structure of SbC3F.

Geometry as CIF:
```
data_SbC3F
_symmetry_space_group_name_H-M 'P m -3 m'
_symmetry_Int_Tables_number 221
_symmetry_space_group_name_Hall '-P 4 2 3'
_cell_length_a 3.878
_cell_length_b 3.878
_cell_length_c 3.878
_cell_angle_alpha 90.00
_cell_angle_beta 90.00
_cell_angle_gamma 90.00
loop_
_atom_site_label
_atom_site_type_symbol
_atom_site_fract_x
_atom_site_fract_y
_atom_site_fract_z
Sb1 Sb 0.000 0.000 0.000
C1 C 0.000 0.500 0.500
F1 F 0.500 0.500 0.500
```

M_tot, μB/cell: 0.00
V, Å³/cell: 58



Version Q
## SbC3F (PBE)

Data for an optimized crystal structure of SbC3F.

Geometry as CIF:
```
data_SbC3F
_symmetry_space_group_name_H-M 'P m -3 m'
_symmetry_Int_Tables_number 221
_symmetry_space_group_name_Hall '-P 4 2 3'
_cell_length_a 4.301
_cell_length_b 4.301
_cell_length_c 4.301
_cell_angle_alpha 90.00
_cell_angle_beta 90.00
_cell_angle_gamma 90.00
loop_
_atom_site_label
_atom_site_type_symbol
_atom_site_fract_x
_atom_site_fract_y
_atom_site_fract_z
Sb1 Sb 0.000 0.000 0.000
C1 C 0.000 0.000 0.500
F1 F 0.500 0.500 0.500
```

M_tot, μB/cell: 2.35
V, Å³/cell: 80



Top of the stability list: version Q, leading by 33 meV/atom.



Version P
## ScCF3 (PBE)

Data for an optimized crystal structure of ScCF3.

Geometry as CIF:
```
data_ScCF3
_symmetry_space_group_name_H-M 'P m -3 m'
_symmetry_Int_Tables_number 221
_symmetry_space_group_name_Hall '-P 4 2 3'
_cell_length_a 4.113
_cell_length_b 4.113
_cell_length_c 4.113
_cell_angle_alpha 90.00
_cell_angle_beta 90.00
_cell_angle_gamma 90.00
loop_
_atom_site_label
_atom_site_type_symbol
_atom_site_fract_x
_atom_site_fract_y
_atom_site_fract_z
Sc1 Sc 0.000 0.000 0.000
C1 C 0.500 0.500 0.500
F1 F 0.000 0.000 0.500
```

M_tot, μB/cell: 2.00
V, Å³/cell: 70



Version Q
## ScCF3 (PBE)

Data for an optimized crystal structure of ScCF3.

Geometry as CIF:
```
data_ScCF3
_symmetry_space_group_name_H-M 'P m -3 m'
_symmetry_Int_Tables_number 221
_symmetry_space_group_name_Hall '-P 4 2 3'
_cell_length_a 3.948
_cell_length_b 3.948
_cell_length_c 3.948
_cell_angle_alpha 90.00
_cell_angle_beta 90.00
_cell_angle_gamma 90.00
loop_
_atom_site_label
_atom_site_type_symbol
_atom_site_fract_x
_atom_site_fract_y
_atom_site_fract_z
Sc1 Sc 0.000 0.000 0.000
C1 C 0.500 0.500 0.500
F1 F 0.000 0.500 0.500
```

M_tot, μB/cell: 1.82
V, Å³/cell: 62



Top of the stability list: version P, leading by 1112 meV/atom.



Version P
## ScC3F (PBE)

Data for an optimized crystal structure of ScC3F.

Geometry as CIF:
```
data_ScC3F
_symmetry_space_group_name_H-M 'P m -3 m'
_symmetry_Int_Tables_number 221
_symmetry_space_group_name_Hall '-P 4 2 3'
_cell_length_a 3.749
_cell_length_b 3.749
_cell_length_c 3.749
_cell_angle_alpha 90.00
_cell_angle_beta 90.00
_cell_angle_gamma 90.00
loop_
_atom_site_label
_atom_site_type_symbol
_atom_site_fract_x
_atom_site_fract_y
_atom_site_fract_z
Sc1 Sc 0.000 0.000 0.000
C1 C 0.000 0.500 0.500
F1 F 0.500 0.500 0.500
```

M_tot, μB/cell: 0.00
V, Å³/cell: 53



Version Q
## ScC3F (PBE)

Data for an optimized crystal structure of ScC3F.

Geometry as CIF:
```
data_ScC3F
_symmetry_space_group_name_H-M 'P m -3 m'
_symmetry_Int_Tables_number 221
_symmetry_space_group_name_Hall '-P 4 2 3'
_cell_length_a 4.366
_cell_length_b 4.366
_cell_length_c 4.366
_cell_angle_alpha 90.00
_cell_angle_beta 90.00
_cell_angle_gamma 90.00
loop_
_atom_site_label
_atom_site_type_symbol
_atom_site_fract_x
_atom_site_fract_y
_atom_site_fract_z
Sc1 Sc 0.000 0.000 0.000
C1 C 0.000 0.000 0.500
F1 F 0.500 0.500 0.500
```

M_tot, μB/cell: 1.67
V, Å³/cell: 83



Top of the stability list: version P, leading by 500 meV/atom.



Version P
## SiCF3 (PBE)

Data for an optimized crystal structure of SiCF3.

Geometry as CIF:
```
data_SiCF3
_symmetry_space_group_name_H-M 'P m -3 m'
_symmetry_Int_Tables_number 221
_symmetry_space_group_name_Hall '-P 4 2 3'
_cell_length_a 3.887
_cell_length_b 3.887
_cell_length_c 3.887
_cell_angle_alpha 90.00
_cell_angle_beta 90.00
_cell_angle_gamma 90.00
loop_
_atom_site_label
_atom_site_type_symbol
_atom_site_fract_x
_atom_site_fract_y
_atom_site_fract_z
Si1 Si 0.000 0.000 0.000
C1 C 0.500 0.500 0.500
F1 F 0.000 0.000 0.500
```

M_tot, μB/cell: 1.96
V, Å³/cell: 59



Version Q
## SiCF3 (PBE)

Data for an optimized crystal structure of SiCF3.

Geometry as CIF:
```
data_SiCF3
_symmetry_space_group_name_H-M 'P m -3 m'
_symmetry_Int_Tables_number 221
_symmetry_space_group_name_Hall '-P 4 2 3'
_cell_length_a 3.934
_cell_length_b 3.934
_cell_length_c 3.934
_cell_angle_alpha 90.00
_cell_angle_beta 90.00
_cell_angle_gamma 90.00
loop_
_atom_site_label
_atom_site_type_symbol
_atom_site_fract_x
_atom_site_fract_y
_atom_site_fract_z
Si1 Si 0.000 0.000 0.000
C1 C 0.500 0.500 0.500
F1 F 0.000 0.500 0.500
```

M_tot, μB/cell: 0.84
V, Å³/cell: 61



Top of the stability list: version P, leading by 503 meV/atom.



Version P
## SiC3F (PBE)

Data for an optimized crystal structure of SiC3F.

Geometry as CIF:
```
data_SiC3F
_symmetry_space_group_name_H-M 'P m -3 m'
_symmetry_Int_Tables_number 221
_symmetry_space_group_name_Hall '-P 4 2 3'
_cell_length_a 3.702
_cell_length_b 3.702
_cell_length_c 3.702
_cell_angle_alpha 90.00
_cell_angle_beta 90.00
_cell_angle_gamma 90.00
loop_
_atom_site_label
_atom_site_type_symbol
_atom_site_fract_x
_atom_site_fract_y
_atom_site_fract_z
Si1 Si 0.000 0.000 0.000
C1 C 0.000 0.500 0.500
F1 F 0.500 0.500 0.500
```

M_tot, μB/cell: 0.00
V, Å³/cell: 51



Version Q
## SiC3F (PBE)

Data for an optimized crystal structure of SiC3F.

Geometry as CIF:
```
data_SiC3F
_symmetry_space_group_name_H-M 'P m -3 m'
_symmetry_Int_Tables_number 221
_symmetry_space_group_name_Hall '-P 4 2 3'
_cell_length_a 3.764
_cell_length_b 3.764
_cell_length_c 3.764
_cell_angle_alpha 90.00
_cell_angle_beta 90.00
_cell_angle_gamma 90.00
loop_
_atom_site_label
_atom_site_type_symbol
_atom_site_fract_x
_atom_site_fract_y
_atom_site_fract_z
Si1 Si 0.000 0.000 0.000
C1 C 0.000 0.000 0.500
F1 F 0.500 0.500 0.500
```

M_tot, μB/cell: 0.81
V, Å³/cell: 53



Top of the stability list: version Q, leading by 1117 meV/atom.



Version P
## SnC2F (PBE)

Data for an optimized crystal structure of SnC2F.

Geometry as CIF:
```
data_SnC2F
_symmetry_space_group_name_H-M 'F m -3 m'
_symmetry_Int_Tables_number 225
_symmetry_space_group_name_Hall '-F 4 2 3'
_cell_length_a 5.666
_cell_length_b 5.666
_cell_length_c 5.666
_cell_angle_alpha 90.00
_cell_angle_beta 90.00
_cell_angle_gamma 90.00
loop_
_atom_site_label
_atom_site_type_symbol
_atom_site_fract_x
_atom_site_fract_y
_atom_site_fract_z
Sn1 Sn 0.000 0.000 0.000
C1 C 0.250 0.250 0.250
F1 F 0.000 0.000 0.500
```

M_tot, μB/cell: 0.00
V, Å³/cell: 182



Version Q
## SnC2F (PBE)

Data for an optimized crystal structure of SnC2F.

Geometry as CIF:
```
data_SnC2F
_symmetry_space_group_name_H-M 'I -4 2 d'
_symmetry_Int_Tables_number 122
_symmetry_space_group_name_Hall 'I -4 2bw'
_cell_length_a 4.442
_cell_length_b 4.442
_cell_length_c 11.796
_cell_angle_alpha 90.00
_cell_angle_beta 90.00
_cell_angle_gamma 90.00
loop_
_atom_site_label
_atom_site_type_symbol
_atom_site_fract_x
_atom_site_fract_y
_atom_site_fract_z
Sn1 Sn 0.000 0.000 0.000
C1 C 0.219 0.250 0.625
F1 F 0.000 0.000 0.500
```

M_tot, μB/cell: 0.00
V, Å³/cell: 233



Top of the stability list: version P, leading by 91 meV/atom.



Version P
## Sn2CF (PBE)

Data for an optimized crystal structure of Sn2CF.

Geometry as CIF:
```
data_Sn2CF
_symmetry_space_group_name_H-M 'I -4 2 d'
_symmetry_Int_Tables_number 122
_symmetry_space_group_name_Hall 'I -4 2bw'
_cell_length_a 5.831
_cell_length_b 5.831
_cell_length_c 9.788
_cell_angle_alpha 90.00
_cell_angle_beta 90.00
_cell_angle_gamma 90.00
loop_
_atom_site_label
_atom_site_type_symbol
_atom_site_fract_x
_atom_site_fract_y
_atom_site_fract_z
Sn1 Sn 0.214 0.250 0.125
C1 C 0.000 0.000 0.000
F1 F 0.000 0.000 0.500
```

M_tot, μB/cell: 0.00
V, Å³/cell: 333



Version Q
## Sn2CF (PBE)

Data for an optimized crystal structure of Sn2CF.

Geometry as CIF:
```
data_Sn2CF
_symmetry_space_group_name_H-M 'F m -3 m'
_symmetry_Int_Tables_number 225
_symmetry_space_group_name_Hall '-F 4 2 3'
_cell_length_a 6.370
_cell_length_b 6.370
_cell_length_c 6.370
_cell_angle_alpha 90.00
_cell_angle_beta 90.00
_cell_angle_gamma 90.00
loop_
_atom_site_label
_atom_site_type_symbol
_atom_site_fract_x
_atom_site_fract_y
_atom_site_fract_z
Sn1 Sn 0.250 0.250 0.250
C1 C 0.000 0.000 0.000
F1 F 0.000 0.000 0.500
```

M_tot, μB/cell: 0.00
V, Å³/cell: 258



Top of the stability list: version P, leading by 189 meV/atom.



Version P
## SrCF3 (PBE)

Data for an optimized crystal structure of SrCF3.

Geometry as CIF:
```
data_SrCF3
_symmetry_space_group_name_H-M 'P m -3 m'
_symmetry_Int_Tables_number 221
_symmetry_space_group_name_Hall '-P 4 2 3'
_cell_length_a 4.737
_cell_length_b 4.737
_cell_length_c 4.737
_cell_angle_alpha 90.00
_cell_angle_beta 90.00
_cell_angle_gamma 90.00
loop_
_atom_site_label
_atom_site_type_symbol
_atom_site_fract_x
_atom_site_fract_y
_atom_site_fract_z
Sr1 Sr 0.000 0.000 0.000
C1 C 0.500 0.500 0.500
F1 F 0.000 0.000 0.500
```

M_tot, μB/cell: 1.00
V, Å³/cell: 106



Version Q
## SrCF3 (PBE)

Data for an optimized crystal structure of SrCF3.

Geometry as CIF:
```
data_SrCF3
_symmetry_space_group_name_H-M 'P m -3 m'
_symmetry_Int_Tables_number 221
_symmetry_space_group_name_Hall '-P 4 2 3'
_cell_length_a 4.093
_cell_length_b 4.093
_cell_length_c 4.093
_cell_angle_alpha 90.00
_cell_angle_beta 90.00
_cell_angle_gamma 90.00
loop_
_atom_site_label
_atom_site_type_symbol
_atom_site_fract_x
_atom_site_fract_y
_atom_site_fract_z
Sr1 Sr 0.000 0.000 0.000
C1 C 0.500 0.500 0.500
F1 F 0.000 0.500 0.500
```

M_tot, μB/cell: 0.97
V, Å³/cell: 69



Top of the stability list: version Q, leading by 359 meV/atom.



Version P
## SrC3F (PBE)

Data for an optimized crystal structure of SrC3F.

Geometry as CIF:
```
data_SrC3F
_symmetry_space_group_name_H-M 'P m -3 m'
_symmetry_Int_Tables_number 221
_symmetry_space_group_name_Hall '-P 4 2 3'
_cell_length_a 5.350
_cell_length_b 5.350
_cell_length_c 5.350
_cell_angle_alpha 90.00
_cell_angle_beta 90.00
_cell_angle_gamma 90.00
loop_
_atom_site_label
_atom_site_type_symbol
_atom_site_fract_x
_atom_site_fract_y
_atom_site_fract_z
Sr1 Sr 0.000 0.000 0.000
C1 C 0.000 0.000 0.500
F1 F 0.500 0.500 0.500
```

M_tot, μB/cell: 7.00
V, Å³/cell: 153



Version Q
## SrC3F (PBE)

Data for an optimized crystal structure of SrC3F.

Geometry as CIF:
```
data_SrC3F
_symmetry_space_group_name_H-M 'P m -3 m'
_symmetry_Int_Tables_number 221
_symmetry_space_group_name_Hall '-P 4 2 3'
_cell_length_a 4.076
_cell_length_b 4.076
_cell_length_c 4.076
_cell_angle_alpha 90.00
_cell_angle_beta 90.00
_cell_angle_gamma 90.00
loop_
_atom_site_label
_atom_site_type_symbol
_atom_site_fract_x
_atom_site_fract_y
_atom_site_fract_z
Sr1 Sr 0.000 0.000 0.000
C1 C 0.000 0.500 0.500
F1 F 0.500 0.500 0.500
```

M_tot, μB/cell: 0.00
V, Å³/cell: 68



Top of the stability list: version Q, leading by 868 meV/atom.